Arrangement i

An optimized crystal structure of InTc3Se, computed with PBE-GGA.

Calculated values
- Symmetry: Pm-3m, No. 221
- Crystal system: cubic
- DOS(E_F): 6.40 states/eV/f.u.

Unit cell a=4.8701 b=4.8701 c=4.8701 alpha=90.00 beta=90.00 gamma=90.00
Closest atoms and distances in Å follow each position.
Positions (direct):
Tc (0.5000, 0.0000, 0.0000)  2 In 2.44
Tc (0.0000, 0.5000, 0.0000)  2 In 2.44
Se (0.5000, 0.5000, 0.5000)  12 Tc 3.44
Tc (0.0000, 0.0000, 0.5000)  2 In 2.44
In (0.0000, 0.0000, 0.0000)  6 Tc 2.44


Arrangement ii

An optimized crystal structure of InTc3Se, computed with PBE-GGA.

Calculated values
- Symmetry: Pm-3m, No. 221
- Crystal system: cubic
- DOS(E_F): 3.26 states/eV/f.u.

Unit cell a=4.5677 b=4.5677 c=4.5677 alpha=90.00 beta=90.00 gamma=90.00
Closest atoms and distances in Å follow each position.
Positions (direct):
Tc (0.0000, 0.0000, 0.5000)  2 Se 2.28
In (0.5000, 0.5000, 0.5000)  12 Tc 3.23
Se (0.0000, 0.0000, 0.0000)  6 Tc 2.28
Tc (0.5000, 0.0000, 0.0000)  2 Se 2.28
Tc (0.0000, 0.5000, 0.0000)  2 Se 2.28


Verdict on stability: arrangement ii comes out on top.


Arrangement i

An optimized crystal structure of In2Te2Se, computed with PBE-GGA.

Calculated values
- Symmetry: P4/mbm, No. 127
- Crystal system: tetragonal
- DOS(E_F): 3.63 states/eV/f.u.

Unit cell a=8.2865 b=8.2865 c=4.0263 alpha=90.00 beta=90.00 gamma=90.00
Closest atoms and distances in Å follow each position.
Positions (direct):
Te (0.6475, 0.8525, 0.5000)  6 In 2.99-3.28
Te (0.8525, 0.3525, 0.5000)  6 In 2.99-3.28
Se (0.0000, 0.0000, 0.0000)  4 In 3.10
Te (0.3525, 0.1475, 0.5000)  6 In 2.99-3.28
In (0.3361, 0.8361, 0.0000)  6 Te 2.99-3.28, 2 Se 3.10
Te (0.1475, 0.6475, 0.5000)  6 In 2.99-3.28
In (0.1639, 0.3361, 0.0000)  6 Te 2.99-3.28, 2 Se 3.10
Se (0.5000, 0.5000, 0.0000)  4 In 3.10
In (0.6639, 0.1639, 0.0000)  6 Te 2.99-3.28, 2 Se 3.10
In (0.8361, 0.6639, 0.0000)  6 Te 2.99-3.28, 2 Se 3.10


Arrangement ii

An optimized crystal structure of In2Te2Se, computed with PBE-GGA.

Calculated values
- Symmetry: I4_1md, No. 109
- Crystal system: tetragonal

Unit cell a=8.0402 b=8.0402 c=8.7149 alpha=117.47 beta=117.47 gamma=90.00
Closest atoms and distances in Å follow each position.
Positions (direct):
Te (0.1259, 0.3879, 0.7757)  3 In 2.84-2.90
Se (0.0591, 0.0591, 0.1183)  2 In 2.57
In (0.9132, 0.1729, 0.3458)  1 Se 2.57, 1 Te 2.84
Te (0.6379, 0.8759, 0.2757)  3 In 2.84-2.90
In (0.4229, 0.1826, 0.8458)  1 Se 2.57, 1 Te 2.84
Te (0.6498, 0.3879, 0.7757)  3 In 2.84-2.90
Se (0.3091, 0.8091, 0.6183)  2 In 2.57
Te (0.6379, 0.3998, 0.2757)  3 In 2.84-2.90
In (0.4326, 0.1729, 0.3458)  1 Se 2.57, 1 Te 2.84
In (0.4229, 0.6632, 0.8458)  1 Se 2.57, 1 Te 2.84


Arrangement iii

An optimized crystal structure of In2Te2Se, computed with PBE-GGA.

Calculated values
- Symmetry: P-3m1, No. 164
- Crystal system: trigonal
- DOS(E_F): 2.30 states/eV/f.u.

Unit cell a=4.1719 b=4.1719 c=10.5941 alpha=90.00 beta=90.00 gamma=120.00
Closest atoms and distances in Å follow each position.
Positions (direct):
Te (0.6667, 0.3333, 0.6781)  3 In 2.89
In (0.6667, 0.3333, 0.1720)  3 Te 2.89, 3 Se 3.02
Te (0.3333, 0.6667, 0.3219)  3 In 2.89
In (0.3333, 0.6667, 0.8280)  3 Te 2.89, 3 Se 3.02
Se (0.0000, 0.0000, 0.0000)  6 In 3.02


Verdict on stability: arrangement ii comes out on top.


Arrangement i

An optimized crystal structure of In3Te2Se, computed with PBE-GGA.

Calculated values
- Symmetry: Cmcm, No. 63
- Crystal system: orthorhombic
- DOS(E_F): 2.14 states/eV/f.u.

Unit cell a=7.3765 b=8.3255 c=7.3765 alpha=90.00 beta=60.15 gamma=90.00
Closest atoms and distances in Å follow each position.
Positions (direct):
Se (0.5000, 0.7500, 0.5000)  3 In 2.70
In (0.8664, 0.2500, 0.4995)  1 Se 2.70
In (0.8656, 0.7500, 0.1344)  1 Se 2.70
In (0.1344, 0.2500, 0.8656)  1 Se 2.70
In (0.1336, 0.7500, 0.5005)  1 Se 2.70
Te (0.1670, 0.0000, 0.1670)  6 In 3.14
Te (0.8330, 0.5000, 0.8330)  6 In 3.14
Te (0.8330, 0.0000, 0.8330)  6 In 3.14
In (0.5005, 0.2500, 0.1336)  1 Se 2.70
Se (0.5000, 0.2500, 0.5000)  3 In 2.70
Te (0.1670, 0.5000, 0.1670)  6 In 3.14
In (0.4995, 0.7500, 0.8664)  1 Se 2.70


Arrangement ii

An optimized crystal structure of In3Te2Se, computed with PBE-GGA.

Calculated values
- Symmetry: Cmcm, No. 63
- Crystal system: orthorhombic
- DOS(E_F): 2.84 states/eV/f.u.

Unit cell a=6.0498 b=9.7098 c=9.7098 alpha=141.33 beta=90.00 gamma=90.00
Closest atoms and distances in Å follow each position.
Positions (direct):
Te (0.9930, 0.4151, 0.0816)  6 In 3.03-3.26
In (0.9930, 0.2168, 0.2168)  3 Se 2.95-3.03, 2 Te 3.06
Te (0.4930, 0.9184, 0.5849)  6 In 3.03-3.26
In (0.4930, 0.4169, 0.0990)  1 Se 2.91, 5 Te 3.03-3.26
Se (0.9931, 0.7580, 0.7580)  5 In 2.91-3.03
In (0.9930, 0.5831, 0.9010)  1 Se 2.91, 5 Te 3.03-3.26
In (0.9930, 0.9010, 0.5831)  1 Se 2.91, 5 Te 3.03-3.26
In (0.4930, 0.7832, 0.7832)  3 Se 2.95-3.03, 2 Te 3.06
Te (0.9930, 0.0816, 0.4151)  6 In 3.03-3.26
Te (0.4930, 0.5849, 0.9184)  6 In 3.03-3.26
Se (0.4931, 0.2420, 0.2420)  5 In 2.91-3.03
In (0.4930, 0.0990, 0.4169)  1 Se 2.91, 5 Te 3.03-3.26


Verdict on stability: arrangement ii comes out on top.


Arrangement i

An optimized crystal structure of In4Te3Se, computed with PBE-GGA.

Calculated values
- Symmetry: Pmn2_1, No. 31
- Crystal system: orthorhombic

Unit cell a=7.0994 b=10.0575 c=8.8728 alpha=90.00 beta=90.00 gamma=90.00
Closest atoms and distances in Å follow each position.
Positions (direct):
Te (0.5313, 0.2921, 0.7630)  2 In 2.83-2.85
Se (0.0152, 0.1019, 0.0000)  2 In 2.63-2.67
In (0.1402, 0.8828, 0.5000)  1 Se 2.67, 3 Te 2.82-2.85
In (0.6402, 0.1172, 0.0000)  1 Se 2.67, 3 Te 2.82-2.85
In (0.6245, 0.1478, 0.5000)  1 Se 2.63, 3 Te 2.83-2.86
In (0.0728, 0.3348, 0.7931)  1 Se 3.00, 2 Te 3.20-3.29
Te (0.0273, 0.1520, 0.5000)  2 In 2.82-2.86
In (0.0728, 0.3348, 0.2069)  1 Se 3.00, 2 Te 3.20-3.29
In (0.5728, 0.6652, 0.2931)  1 Se 3.00, 2 Te 3.20-3.29
Te (0.5313, 0.2921, 0.2370)  2 In 2.83-2.85
In (0.1245, 0.8522, 0.0000)  1 Se 2.63, 3 Te 2.83-2.86
In (0.5728, 0.6652, 0.7069)  1 Se 3.00, 2 Te 3.20-3.29
Te (0.5273, 0.8480, 0.0000)  2 In 2.82-2.86
Te (0.0313, 0.7079, 0.2630)  2 In 2.83-2.85
Se (0.5152, 0.8981, 0.5000)  2 In 2.63-2.67
Te (0.0313, 0.7079, 0.7370)  2 In 2.83-2.85


Arrangement ii

An optimized crystal structure of In4Te3Se, computed with PBE-GGA.

Calculated values
- Symmetry: P-1, No. 2
- Crystal system: triclinic
- DOS(E_F): 2.84 states/eV/f.u.

Unit cell a=7.5637 b=7.5631 c=8.8494 alpha=90.00 beta=90.00 gamma=110.31
Closest atoms and distances in Å follow each position.
Positions (direct):
In (0.0079, 0.7540, 0.3673)  1 Se 3.03, 5 Te 3.08-3.18
In (0.4928, 0.2468, 0.3675)  1 Se 3.04, 5 Te 3.08-3.18
Te (0.7503, 0.5002, 0.6260)  6 In 3.08-3.18
In (0.4968, 0.7621, 0.1189)  2 Se 3.00-3.01, 4 Te 3.07-3.20
Te (0.7502, 0.5002, 0.1227)  6 In 3.07-3.20
Te (0.2497, 0.4998, 0.3740)  6 In 3.08-3.18
Se (0.7497, 0.9998, 0.8786)  6 In 3.00-3.04
In (0.5032, 0.2379, 0.8811)  2 Se 3.00-3.01, 4 Te 3.07-3.20
Te (0.2502, 0.0002, 0.6273)  6 In 3.09-3.13
Se (0.2503, 0.0002, 0.1214)  6 In 3.00-3.04
In (0.9972, 0.7627, 0.8812)  2 Se 3.00-3.01, 4 Te 3.07-3.20
In (0.9921, 0.2460, 0.6327)  1 Se 3.03, 5 Te 3.08-3.18
Te (0.7498, 0.9998, 0.3727)  6 In 3.09-3.13
In (0.0028, 0.2373, 0.1188)  2 Se 3.00-3.01, 4 Te 3.07-3.20
In (0.5072, 0.7532, 0.6325)  1 Se 3.04, 5 Te 3.08-3.18
Te (0.2498, 0.4998, 0.8773)  6 In 3.07-3.20


Verdict on stability: arrangement ii comes out on top.